{
  "formula": "LaFe2Cl",
  "functional": "GGA-PBE",
  "state": "relaxed",
  "lattice": [[3.239, 0.000, 0.000], [0.000, 3.318, 0.030], [0.000, 1.596, 7.317]],
  "species": ["Fe", "Cl", "La", "Fe"],
  "frac_coords": [[0.500, 0.214, 0.196], [0.500, 0.933, 0.759], [0.000, 0.571, 0.483], [0.000, 0.782, 0.062]],
  "spacegroup": "Amm2",
  "e_form_raw_ev_per_atom": -0.199,
  "crystal_system": "orthorhombic",
  "magmom_total_mub_per_cell": 4.9
}